{"formula": "Gd3FeO6", "functional": "GGA+U", "state": "relaxed", "lattice": [[7.257, 0.002, 0.000], [-1.622, 7.073, 0.000], [0.000, 0.000, 5.543]], "species": ["Gd", "O", "O", "Gd", "O", "O", "O", "O", "O", "O", "Gd", "O", "O", "Gd", "Gd", "O", "Fe", "Gd", "Fe", "O"], "frac_coords": [[0.799, 0.587, 0.541], [0.285, 0.715, 0.232], [0.921, 0.394, 0.250], [0.103, 0.897, 0.997], [0.175, 0.145, 0.270], [0.715, 0.285, 0.732], [0.460, 0.540, 0.721], [0.540, 0.460, 0.221], [0.825, 0.855, 0.770], [0.079, 0.606, 0.750], [0.201, 0.413, 0.041], [0.606, 0.079, 0.250], [0.855, 0.825, 0.270], [0.897, 0.103, 0.497], [0.413, 0.201, 0.541], [0.394, 0.921, 0.750], [0.692, 0.308, 0.073], [0.587, 0.799, 0.041], [0.308, 0.692, 0.573], [0.145, 0.175, 0.770]], "energy_ev_per_atom": -10.749, "spacegroup": "No. 36"}